[1]
Below is a relaxed Zr2ScZnH crystal, with properties calculated at the GGA-PBE level.

a = 4.3682 Å, b = 4.3682 Å, c = 4.4340 Å
α = 90.00°, β = 90.00°, γ = 90.00°
Last column: nearest neighbours and their distance in Å.
Space group P4/mmm (No. 123)
Symmetry-distinct sites (fractional):
1 Zr 0.0000 0.5000 0.0000  2 H 2.18
2 Sc 0.0000 0.0000 0.5000  4 Zn 3.09, 8 Zr 3.11
3 Zn 0.5000 0.5000 0.5000  2 H 2.22
4 H 0.5000 0.5000 0.0000  4 Zr 2.18, 2 Zn 2.22

calculated total energy	-5.7680	eV per atom
polymorph energy (0 for the lowest one)	0.090	eV per atom

=====

[2]
Below is a relaxed ZrSc2ZnH crystal, with properties calculated at the GGA-PBE level.

a = 4.4307 Å, b = 4.4307 Å, c = 4.3196 Å
α = 90.00°, β = 90.00°, γ = 90.00°
Last column: nearest neighbours and their distance in Å.
Space group P4/mmm (No. 123)
Symmetry-distinct sites (fractional):
1 Zr 0.0000 0.0000 0.0000  2 H 2.16
2 Sc 0.0000 0.5000 0.5000  2 H 2.22
3 Zn 0.5000 0.5000 0.0000  8 Sc 3.09, 4 Zr 3.13
4 H 0.0000 0.0000 0.5000  2 Zr 2.16, 4 Sc 2.22

calculated total energy	-5.4062	eV per atom
polymorph energy (0 for the lowest one)	0.000	eV per atom

=====

[3]
Below is a relaxed ZrSc2ZnH crystal, with properties calculated at the GGA-PBE level.

a = 4.3972 Å, b = 4.3972 Å, c = 4.3447 Å
α = 90.00°, β = 90.00°, γ = 90.00°
Last column: nearest neighbours and their distance in Å.
Space group P4/mmm (No. 123)
Symmetry-distinct sites (fractional):
1 Zr 0.0000 0.0000 0.0000  8 Sc 3.09, 4 Zn 3.11
2 Sc 0.0000 0.5000 0.5000  2 H 2.20
3 Zn 0.5000 0.5000 0.0000  2 H 2.17
4 H 0.5000 0.5000 0.5000  2 Zn 2.17, 4 Sc 2.20

calculated total energy	-5.3136	eV per atom
polymorph energy (0 for the lowest one)	0.093	eV per atom

=====

[4]
Below is a relaxed ZrSc2ZnH crystal, with properties calculated at the GGA-PBE level.

a = 5.2277 Å, b = 5.2277 Å, c = 5.1247 Å
α = 90.00°, β = 90.00°, γ = 90.00°
Last column: nearest neighbours and their distance in Å.
Space group P4/mmm (No. 123)
Symmetry-distinct sites (fractional):
1 Zr 0.0000 0.0000 0.0000  2 Zn 2.56, 4 Sc 2.61
2 Sc 0.0000 0.5000 0.0000  2 Zr 2.61
3 Zn 0.0000 0.0000 0.5000  2 Zr 2.56
4 H 0.5000 0.5000 0.5000  8 Sc 3.66, 4 Zn 3.70

calculated total energy	-3.8667	eV per atom
polymorph energy (0 for the lowest one)	1.540	eV per atom

=====

[5]
Below is a relaxed Zr2ScZnH crystal, with properties calculated at the GGA-PBE level.

a = 5.5208 Å, b = 5.5208 Å, c = 3.2066 Å
α = 90.00°, β = 90.00°, γ = 90.00°
Last column: nearest neighbours and their distance in Å.
Space group P4/mmm (No. 123)
Symmetry-distinct sites (fractional):
1 Zr 0.0000 0.5000 0.0000  2 Zn 2.76
2 Sc 0.0000 0.0000 0.5000  8 Zr 3.19, 2 Sc 3.21
3 Zn 0.5000 0.5000 0.0000  2 H 1.60
4 H 0.5000 0.5000 0.5000  2 Zn 1.60

calculated total energy	-5.0524	eV per atom
polymorph energy (0 for the lowest one)	0.806	eV per atom

=====

[6]
Below is a relaxed Zr2ScZnH crystal, with properties calculated at the GGA-PBE level.

a = 4.3869 Å, b = 4.3869 Å, c = 4.4008 Å
α = 90.00°, β = 90.00°, γ = 90.00°
Last column: nearest neighbours and their distance in Å.
Space group P4/mmm (No. 123)
Symmetry-distinct sites (fractional):
1 Zr 0.0000 0.5000 0.0000  2 H 2.19
2 Sc 0.0000 0.0000 0.5000  2 H 2.20
3 Zn 0.5000 0.5000 0.5000  4 Sc 3.10, 8 Zr 3.11
4 H 0.0000 0.0000 0.0000  4 Zr 2.19, 2 Sc 2.20

calculated total energy	-5.8582	eV per atom
polymorph energy (0 for the lowest one)	0.000	eV per atom

=====

[7]
Below is a relaxed ZrScH crystal, with properties calculated at the GGA-PBE level.

a = 4.3204 Å, b = 4.3284 Å, c = 5.1244 Å
α = 90.00°, β = 90.00°, γ = 90.00°
Last column: nearest neighbours and their distance in Å.
Space group Pmmn (No. 59, origin choice 2)
Symmetry-distinct sites (fractional):
1 Zr 0.2500 0.2500 0.0400  1 H 2.06
2 Sc 0.2500 0.7500 0.4994  4 H 2.18
3 H 0.2500 0.2500 0.4425  1 Zr 2.06, 4 Sc 2.18

calculated total energy	-6.3243	eV per atom
polymorph energy (0 for the lowest one)	0.000	eV per atom

=====

[8]
Below is a relaxed ZrSc3H8 crystal, with properties calculated at the GGA-PBE level.

a = 4.7587 Å, b = 4.7587 Å, c = 4.7587 Å
α = 90.00°, β = 90.00°, γ = 90.00°
Last column: nearest neighbours and their distance in Å.
Space group Pm-3m (No. 221)
Symmetry-distinct sites (fractional):
1 Zr 0.0000 0.0000 0.0000  8 H 2.06
2 Sc 0.0000 0.5000 0.5000  8 H 2.06
3 H 0.2502 0.2502 0.2502  3 Sc 2.06, 1 Zr 2.06

calculated total energy	-5.2016	eV per atom

=====

Q: What is the formula in the fifth record?
A: Zr2ScZnH